A plane-wave DFT calculation with PBE was carried out for a relaxed Mg3Pb crystal.

```
8
Lattice="6.5418 0.0000 0.0000 -3.2709 5.6654 0.0000 0.0000 0.0000 5.2003" Properties=species:S:1:pos:R:3 pbc="T T T"
Mg 0.0000 1.8428 1.3001
Mg -1.6750 4.7440 1.3001
Mg 1.5959 0.9214 3.9002
Mg 1.6750 4.7440 1.3001
Mg 4.9459 0.9214 3.9002
Mg 3.2709 3.8226 3.9002
Pb 0.0000 3.7769 3.9002
Pb 3.2709 1.8885 1.3001
```

Properties
space group = P6_3/mmc
energy of formation = -0.19 eV/f.u.
M_tot = 0.0000 μB per atom
raw total energy = -0.080 hartree per atom
DOS at the Fermi energy = 0.41 states/eV per atom

A plane-wave DFT calculation with PBE was carried out for a relaxed Mg3Pb crystal.

```
4
Lattice="3.4090 0.0000 0.0000 0.0000 4.4427 0.0000 -0.0689 0.0000 6.4673" Properties=species:S:1:pos:R:3 pbc="T T T"
Mg 0.0000 0.0000 0.0000
Mg 1.6806 2.2214 1.5571
Mg 1.6595 2.2214 4.9102
Pb -0.0344 0.0000 3.2337
```

Properties
space group = P2/m
energy of formation = -0.14 eV/f.u.
M_tot = 0.0000 μB per atom
raw total energy = -0.079 hartree per atom
DOS at the Fermi energy = 0.26 states/eV per atom

A plane-wave DFT calculation with PBE was carried out for a relaxed MgPb crystal.

```
8
Lattice="5.5269 0.0000 0.0000 -2.7634 4.7864 0.0000 0.0000 0.0000 8.8445" Properties=species:S:1:pos:R:3 pbc="T T T"
Mg 0.0000 3.1909 0.7354
Mg 0.0000 3.1909 3.6869
Mg 2.7634 1.5955 5.1576
Mg 2.7634 1.5955 8.1091
Pb 0.0000 0.0000 2.2111
Pb 0.0000 0.0000 6.6334
Pb 0.0000 3.1909 6.6334
Pb 2.7634 1.5955 2.2111
```

Properties
space group = P6_3/mmc
energy of formation = 0.21 eV/f.u.
M_tot = 0.0000 μB per atom
raw total energy = -0.094 hartree per atom
DOS at the Fermi energy = 0.21 states/eV per atom